No. 1
The following is a PBE calculation of crystalline SiMoRh2 at its relaxed geometry, from Alexandria.

abc: 2.873 2.873 6.837
angles: 90.00 90.00 90.00
Space group P4mm (No. 99)
Inequivalent atoms, fractional coordinates:
Si 0.000 0.000 0.000 x1
Mo 0.500 0.500 0.252 x1
Rh 0.000 0.000 0.503 x1
Rh 0.500 0.500 0.807 x1

The calculated volume is 56 Å³/cell. As for the total energy: -8.15 eV per atom. The value obtained for the formation energy without anion corrections is -39.78 kJ per mole of atoms.

No. 2
The following is a PBE calculation of crystalline SiMoRh2 at its relaxed geometry, from Alexandria.

abc: 3.834 3.834 3.865
angles: 90.00 90.00 90.00
Space group P4/mmm (No. 123)
Inequivalent atoms, fractional coordinates:
Si 0.000 0.000 0.000 x1
Mo 0.500 0.500 0.000 x1
Rh 0.000 0.500 0.500 x2

The calculated volume is 57 Å³/cell. As for the total energy: -7.94 eV per atom. The value obtained for the formation energy without anion corrections is -19.32 kJ per mole of atoms.

No. 3
The following is a PBE calculation of crystalline SiMoRh2 at its relaxed geometry, from Alexandria.

abc: 5.335 5.335 11.351
angles: 90.00 90.00 90.00
Space group I-42d (No. 122)
Inequivalent atoms, fractional coordinates:
Si 0.000 0.000 0.000 x4
Mo 0.000 0.000 0.500 x4
Rh 0.229 0.250 0.125 x8

The calculated volume is 323 Å³/cell. As for the total energy: -7.32 eV per atom. The value obtained for the formation energy without anion corrections is 40.40 kJ per mole of atoms.

No. 4
The following is a PBE calculation of crystalline SiMoRh2 at its relaxed geometry, from Alexandria.

abc: 2.801 2.801 7.074
angles: 90.00 90.00 90.00
Space group P4/mmm (No. 123)
Inequivalent atoms, fractional coordinates:
Si 0.000 0.000 0.000 x1
Mo 0.000 0.000 0.500 x1
Rh 0.500 0.500 0.209 x2

The calculated volume is 56 Å³/cell. As for the total energy: -8.22 eV per atom. The value obtained for the formation energy without anion corrections is -46.40 kJ per mole of atoms.

No. 5
The following is a PBE calculation of crystalline Si2MoRh at its relaxed geometry, from Alexandria.

abc: 6.463 6.463 5.913
angles: 90.00 90.00 90.00
Space group I-42d (No. 122)
Inequivalent atoms, fractional coordinates:
Si 0.229 0.750 0.125 x8
Mo 0.000 0.000 0.500 x4
Rh 0.000 0.000 0.000 x4

The calculated volume is 247 Å³/cell. As for the total energy: -7.21 eV per atom. The value obtained for the formation energy without anion corrections is 4.10 kJ per mole of atoms.

No. 6
The following is a PBE calculation of crystalline SiMoRh2 at its relaxed geometry, from Alexandria.

abc: 2.788 3.966 5.288
angles: 90.00 103.78 90.00
Space group P2/m (No. 10)
Inequivalent atoms, fractional coordinates:
Si 0.000 0.000 0.000 x1
Mo 0.000 0.000 0.500 x1
Rh 0.386 0.500 0.241 x2

The calculated volume is 57 Å³/cell. As for the total energy: -8.09 eV per atom. The value obtained for the formation energy without anion corrections is -34.14 kJ per mole of atoms.